(1)
DFT (PBE-GGA) results for a geometry-optimized Hg3MoH structure.

Properties
Final energy   -10.74 eV per formula unit

Cell lengths 4.378, 4.378, 4.378 Å; angles 90.00, 90.00, 90.00 degrees
Space group Pm-3m (No. 221)
Asymmetric unit:
Hg 0.000 0.000 0.500 [3 per cell]
Mo 0.500 0.500 0.500 [1 per cell]
H 0.000 0.000 0.000 [1 per cell]

=====

(2)
DFT (PBE-GGA) results for a geometry-optimized Hg3MoH structure.

Properties
Final energy   -9.30 eV per formula unit

Cell lengths 5.559, 5.559, 5.559 Å; angles 90.00, 90.00, 90.00 degrees
Space group Pm-3m (No. 221)
Asymmetric unit:
Hg 0.000 0.000 0.500 [3 per cell]
Mo 0.000 0.000 0.000 [1 per cell]
H 0.500 0.500 0.500 [1 per cell]

=====

(3)
DFT (PBE-GGA) results for a geometry-optimized Hg2MoH structure.

Properties
Final energy   -9.90 eV per formula unit

Cell lengths 6.628, 6.628, 6.628 Å; angles 90.00, 90.00, 90.00 degrees
Space group Fm-3m (No. 225)
Asymmetric unit:
Hg 0.250 0.250 0.250 [8 per cell]
Mo 0.000 0.000 0.000 [4 per cell]
H 0.000 0.000 0.500 [4 per cell]